No. 1
An optimized crystal structure of PuNbSn. Source: the Alexandria database, functional PBE-GGA.

POSCAR file:
```
PuNbSn
1.0
5.096 0.000 0.000
-2.548 4.414 0.000
0.000 0.000 3.015
Pu Nb Sn
1 1 1
direct
0.000 0.000 0.000
0.667 0.333 0.500
0.333 0.667 0.500
```

## Properties
Formation energy from the elements (kJ per mole of atoms): 14
M_tot (μB/atom): 1.66
Theoretical density (g cm⁻³): 11.2

=====

No. 2
An optimized crystal structure of PuNbSn2. Source: the Alexandria database, functional PBE-GGA.

POSCAR file:
```
PuNbSn2
1.0
3.687 0.000 0.000
0.000 3.687 0.000
0.000 0.000 6.794
Pu Nb Sn
1 1 2
direct
0.000 0.000 0.000
0.000 0.000 0.500
0.500 0.500 0.284
0.500 0.500 0.716
```

## Properties
Formation energy from the elements (kJ per mole of atoms): -12
M_tot (μB/atom): 1.41
Theoretical density (g cm⁻³): 10.3

=====

No. 3
An optimized crystal structure of Pu2NbSn. Source: the Alexandria database, functional PBE-GGA.

POSCAR file:
```
Pu2NbSn
1.0
7.246 0.000 0.000
0.000 7.246 0.000
0.000 0.000 7.246
Pu Nb Sn
8 4 4
direct
0.250 0.250 0.250
0.250 0.250 0.750
0.250 0.750 0.250
0.250 0.750 0.750
0.750 0.250 0.250
0.750 0.250 0.750
0.750 0.750 0.250
0.750 0.750 0.750
0.000 0.000 0.000
0.000 0.500 0.500
0.500 0.000 0.500
0.500 0.500 0.000
0.000 0.000 0.500
0.000 0.500 0.000
0.500 0.000 0.000
0.500 0.500 0.500
```

## Properties
Formation energy from the elements (kJ per mole of atoms): 20
E above lowest polymorph (eV per formula unit): 1.15
M_tot (μB/atom): 2.38
Theoretical density (g cm⁻³): 12.2